# Hg3Pt5Pb12 | Alexandria via LeMat-Bulk | PBE | relaxed
# M_tot   0.0 μB per formula unit
# E_form   53 meV/atom
# Crystal system   cubic
data_Hg3Pt5Pb12
_chemical_formula_sum 'Hg24 Pt40 Pb96'
_cell_length_a 16.9801
_cell_length_b 16.9801
_cell_length_c 16.9801
_cell_angle_alpha 90.00
_cell_angle_beta 90.00
_cell_angle_gamma 90.00
_space_group_name_H-M_alt 'I a -3 d'
_space_group_IT_number 230
_space_group_name_Hall '-I 4bd 2c 3'
loop_
_atom_site_label
_atom_site_type_symbol
_atom_site_fract_x
_atom_site_fract_y
_atom_site_fract_z
Hg1 Hg 0.0000 0.2500 0.1250
Pt1 Pt 0.0000 0.0000 0.0000
Pt2 Pt 0.0000 0.2500 0.3750
Pb1 Pb 0.0291 0.0701 0.6462

# PmDyLu | Alexandria via LeMat-Bulk | PBE | relaxed
# M_tot   0.0 μB per formula unit
# Offset from the most stable computed form   0.000 eV/atom
# E_form   27 meV/atom
# Crystal system   tetragonal
data_PmDyLu
_chemical_formula_sum 'Pm2 Dy2 Lu2'
_cell_length_a 3.5508
_cell_length_b 3.5508
_cell_length_c 15.0786
_cell_angle_alpha 90.00
_cell_angle_beta 90.00
_cell_angle_gamma 90.00
_space_group_name_H-M_alt 'I 4 m m'
_space_group_IT_number 107
_space_group_name_Hall 'I 4 -2'
loop_
_atom_site_label
_atom_site_type_symbol
_atom_site_fract_x
_atom_site_fract_y
_atom_site_fract_z
Pm1 Pm 0.0000 0.0000 0.0000
Dy1 Dy 0.0000 0.0000 0.3300
Lu1 Lu 0.0000 0.0000 0.6671

# Mg2Al2Ir | Alexandria via LeMat-Bulk | PBE | relaxed
# M_tot   0.0 μB per formula unit
# Offset from the most stable computed form   0.426 eV/atom
# E_form   221 meV/atom
# Crystal system   tetragonal
data_Mg2Al2Ir
_chemical_formula_sum 'Mg4 Al4 Ir2'
_cell_length_a 3.5129
_cell_length_b 3.5129
_cell_length_c 15.4404
_cell_angle_alpha 90.00
_cell_angle_beta 90.00
_cell_angle_gamma 90.00
_space_group_name_H-M_alt 'I 4/m m m'
_space_group_IT_number 139
_space_group_name_Hall '-I 4 2'
loop_
_atom_site_label
_atom_site_type_symbol
_atom_site_fract_x
_atom_site_fract_y
_atom_site_fract_z
Mg1 Mg 0.0000 0.0000 0.0889
Al1 Al 0.0000 0.5000 0.2500
Ir1 Ir 0.0000 0.0000 0.5000

# Na3TeH | Alexandria via LeMat-Bulk | PBE | relaxed
# M_tot   0.0 μB per formula unit
# Offset from the most stable computed form   0.075 eV/atom
# Crystal system   monoclinic
data_Na3TeH
_chemical_formula_sum 'Na6 Te2 H2'
_cell_length_a 5.8931
_cell_length_b 6.4067
_cell_length_c 6.6707
_cell_angle_alpha 90.00
_cell_angle_beta 109.74
_cell_angle_gamma 90.00
_space_group_name_H-M_alt 'P 1 21/m 1'
_space_group_IT_number 11
loop_
_space_group_symop_operation_xyz
'x,y,z'
'-x,-y,-z'
'-x,y+1/2,-z'
'x,-y+1/2,z'
loop_
_atom_site_label
_atom_site_type_symbol
_atom_site_fract_x
_atom_site_fract_y
_atom_site_fract_z
Na1 Na 0.1446 0.2500 0.1589
Na2 Na 0.3473 0.0161 0.7463
Te1 Te 0.1758 0.7500 0.3226
H1 H 0.4630 0.2500 0.0490